Entry 1:
Material: Hf2SiTc
Method: DFT, PBE
State: relaxed

Calculated values
Space group: F-43m
Raw total energy, eV per atom: -9.1222

Unit cell a=4.573 b=4.573 c=4.573 alpha=60.00 beta=60.00 gamma=60.00
Fractional positions:
1 Si 0.500 0.500 0.500
2 Hf 0.750 0.750 0.750
3 Hf 0.000 0.000 0.000
4 Tc 0.250 0.250 0.250

Entry 2:
Material: HfSi2Tc
Method: DFT, PBE
State: relaxed

Calculated values
Space group: F-43m
Raw total energy, eV per atom: -7.8970

Unit cell a=4.440 b=4.440 c=4.440 alpha=60.00 beta=60.00 gamma=60.00
Fractional positions:
1 Si 0.500 0.500 0.500
2 Si 0.750 0.750 0.750
3 Tc 0.250 0.250 0.250
4 Hf 0.000 0.000 0.000

Entry 3:
Material: HfSi2Tc2
Method: DFT, PBE
State: relaxed

Calculated values
Space group: I4/mmm
E above lowest polymorph, meV/atom: 346.1

Unit cell a=5.557 b=5.557 c=5.557 alpha=135.55 beta=135.55 gamma=64.68
Fractional positions:
1 Tc 0.622 0.622 0.000
2 Tc 0.378 0.378 0.000
3 Hf 0.000 0.000 0.000
4 Si 0.250 0.750 0.500
5 Si 0.750 0.250 0.500